(1)
BaSi2Sb, relaxed, DFT PBE; raw formation energy = 0.33 eV per formula unit
1.0
8.0009 0.0000 0.0000
0.0000 8.0009 0.0000
4.0005 4.0005 3.7564
Si Ba Sb
4 2 2
direct
0.8750 0.8068 0.7500 Si
0.3750 0.4432 0.7500 Si
0.5568 0.1250 0.2500 Si
0.1932 0.6250 0.2500 Si
0.7500 0.2500 0.5000 Ba
0.0000 0.0000 0.0000 Ba
0.5000 0.5000 0.0000 Sb
0.2500 0.7500 0.5000 Sb

=====

(2)
Mn4Cr2Au, relaxed, DFT PBE; ΔH_f (0 K) = 105.2 kJ per mole of atoms
1.0
-4.7312 -0.4547 -0.7259
0.8549 -2.2543 -4.1600
-1.8672 -6.9986 0.6302
Mn Cr Au
4 2 1
direct
0.0000 0.5000 0.0000 Mn
0.2023 0.2023 0.5955 Mn
0.7977 0.7977 0.4045 Mn
0.5000 0.0000 0.0000 Mn
0.6077 0.6077 0.7846 Cr
0.3923 0.3923 0.2154 Cr
0.0000 0.0000 0.0000 Au

=====

(3)
TlCo2P, relaxed, DFT PBE; ΔH_f (0 K) = 0.6 kJ per mole of atoms
1.0
6.7376 0.0040 -0.0047
5.3492 4.0964 0.0047
-6.1066 -1.8639 2.1518
Co Tl P
2 1 1
direct
0.0095 0.0095 0.0000 Co
0.3395 0.8395 0.5000 Co
0.6975 0.1975 0.5000 Tl
0.4535 0.4535 0.0000 P

=====

(4)
LaIrCl2, relaxed, DFT PBE; energy above the lowest structure with this stoichiometry = 324 meV per atom; raw formation energy = -2.65 eV per formula unit
1.0
5.6962 0.0040 0.0000
2.7357 4.9963 0.0000
-4.2160 -2.5001 2.9020
La Cl Ir
1 2 1
direct
0.7500 0.2500 0.5000 La
0.0000 0.0000 0.0000 Cl
0.2500 0.7500 0.5000 Cl
0.5000 0.5000 0.0000 Ir

=====

(5)
Rb2Zr2MnS6, relaxed, DFT PBE; raw formation energy = -14.67 eV per formula unit
1.0
-2.2998 -0.6759 -6.0737
6.2243 -1.4533 1.3348
-3.3647 -6.7032 3.1680
Rb S Mn Zr
2 6 1 2
direct
0.8353 0.1647 0.0000 Rb
0.1647 0.8353 0.0000 Rb
0.3973 0.0603 0.6821 S
0.0603 0.3973 0.6821 S
0.7239 0.7239 0.6806 S
0.2761 0.2761 0.3194 S
0.9397 0.6027 0.3179 S
0.6027 0.9397 0.3179 S
0.0000 0.0000 0.5000 Mn
0.6668 0.3332 0.5000 Zr
0.3332 0.6668 0.5000 Zr

=====

(6)
SrFe2Hg, relaxed, DFT PBE; ΔH_f (0 K) = 66.5 kJ per mole of atoms
1.0
4.3606 0.0000 0.0000
0.0000 4.3362 0.0000
0.0000 0.0000 4.4487
Fe Sr Hg
2 1 1
direct
0.0000 0.0000 0.0000 Fe
0.5000 0.5000 0.0000 Fe
0.0000 0.5000 0.5000 Sr
0.5000 0.0000 0.5000 Hg

=====

(7)
MgCuRuC, relaxed, DFT PBE; energy above the lowest structure with this stoichiometry = 88 meV per atom; ΔH_f (0 K) = 30.1 kJ per mole of atoms
1.0
-0.7836 2.7452 0.4727
-1.9383 -2.1287 0.2923
1.7685 -0.6720 6.8335
C Mg Ru Cu
1 1 1 1
direct
0.0000 0.0000 0.5150 C
0.6667 0.3333 0.0296 Mg
0.3333 0.6667 0.3503 Ru
0.3333 0.6667 0.7102 Cu

=====

| no. | E_tot (eV for the cell shown) |
| --- | --- |
| 1 | -33.12 |
| 2 | -51.57 |
| 3 | -21.96 |
| 4 | -20.13 |
| 5 | -67.64 |
| 6 | -16.15 |
| 7 | -22.94 |